The following is a DFT calculation (PBE-GGA) of ZrTaW2 after structural relaxation.

Summary:
Total magnetization in μB/f.u.: 0.00
E above lowest polymorph in meV per atom: 288
ΔE_f in eV/atom: 0.331
ρ in kg/m³: 14278

a = 3.0737 Å, b = 3.0737 Å, c = 27.2859 Å
α = 90.00°, β = 90.00°, γ = 120.00°
Space group R3m (No. 160, hexagonal axes)
Asymmetric unit:
Zr1 0.0000 0.0000 0.0000 (multiplicity 3)
Ta1 0.0000 0.0000 0.2405 (multiplicity 3)
W1 0.0000 0.0000 0.4937 (multiplicity 3)
W2 0.0000 0.0000 0.7545 (multiplicity 3)

=====

The following is a DFT calculation (PBE-GGA) of ZrTa2W after structural relaxation.

Summary:
Total magnetization in μB/f.u.: 0.00
E above lowest polymorph in meV per atom: 53
ΔE_f in eV/atom: 0.094
ρ in kg/m³: 14266

a = 2.8904 Å, b = 4.6959 Å, c = 5.5570 Å
α = 90.00°, β = 100.60°, γ = 90.00°
Space group Pm (No. 6)
Asymmetric unit:
Zr1 0.0000 0.0000 0.0000 (multiplicity 1)
Ta1 0.4528 0.0000 0.5106 (multiplicity 1)
Ta2 0.7167 0.5000 0.2595 (multiplicity 1)
W1 0.2330 0.5000 0.7458 (multiplicity 1)

=====

The following is a DFT calculation (PBE-GGA) of ZrTa2W after structural relaxation.

Summary:
Total magnetization in μB/f.u.: 0.00
E above lowest polymorph in meV per atom: 238
ΔE_f in eV/atom: 0.279
ρ in kg/m³: 13737

a = 3.1272 Å, b = 3.1272 Å, c = 27.2728 Å
α = 90.00°, β = 90.00°, γ = 120.00°
Space group R-3m (No. 166, hexagonal axes)
Asymmetric unit:
Zr1 0.0000 0.0000 0.0000 (multiplicity 3)
Ta1 0.0000 0.0000 0.2415 (multiplicity 6)
W1 0.0000 0.0000 0.5000 (multiplicity 3)

=====

The following is a DFT calculation (PBE-GGA) of ZrTaW2 after structural relaxation.

Summary:
Total magnetization in μB/f.u.: 0.00
E above lowest polymorph in meV per atom: 0
ΔE_f in eV/atom: 0.043
ρ in kg/m³: 14728

a = 3.2688 Å, b = 4.6736 Å, c = 9.4444 Å
α = 90.00°, β = 90.00°, γ = 90.00°
Space group Imm2 (No. 44)
Asymmetric unit:
Zr1 0.0000 0.0000 0.0000 (multiplicity 2)
Ta1 0.0000 0.5000 0.7659 (multiplicity 2)
W1 0.0000 0.0000 0.5124 (multiplicity 2)
W2 0.0000 0.5000 0.2411 (multiplicity 2)

=====

The following is a DFT calculation (PBE-GGA) of ZrTaW2 after structural relaxation.

Summary:
Total magnetization in μB/f.u.: 0.00
E above lowest polymorph in meV per atom: 64
ΔE_f in eV/atom: 0.107
ρ in kg/m³: 14871

a = 3.2611 Å, b = 4.7383 Å, c = 9.2475 Å
α = 90.00°, β = 90.00°, γ = 90.00°
Space group Immm (No. 71)
Asymmetric unit:
Zr1 0.0000 0.0000 0.0000 (multiplicity 2)
Ta1 0.0000 0.0000 0.5000 (multiplicity 2)
W1 0.0000 0.5000 0.2438 (multiplicity 4)

=====

The following is a DFT calculation (PBE-GGA) of ZrTa2W after structural relaxation.

Summary:
Total magnetization in μB/f.u.: 0.00
E above lowest polymorph in meV per atom: 82
ΔE_f in eV/atom: 0.123
ρ in kg/m³: 14287

a = 3.3316 Å, b = 4.7135 Å, c = 4.7144 Å
α = 90.00°, β = 90.00°, γ = 90.00°
Space group Pmmm (No. 47)
Asymmetric unit:
Zr1 0.0000 0.0000 0.0000 (multiplicity 1)
Ta1 0.0000 0.5000 0.5000 (multiplicity 1)
Ta2 0.5000 0.5000 0.0000 (multiplicity 1)
W1 0.5000 0.0000 0.5000 (multiplicity 1)

=====

The following is a DFT calculation (PBE-GGA) of Zr4TaW after structural relaxation.

Summary:
Total magnetization in μB/f.u.: 0.00
ΔE_f in eV/atom: 0.645
ρ in kg/m³: 9728

a = 7.9277 Å, b = 7.9277 Å, c = 7.9277 Å
α = 90.00°, β = 90.00°, γ = 90.00°
Space group F-43m (No. 216)
Asymmetric unit:
Zr1 0.1250 0.1250 0.1250 (multiplicity 16)
Ta1 0.2500 0.2500 0.7500 (multiplicity 4)
W1 0.0000 0.0000 0.5000 (multiplicity 4)

=====

The following is a DFT calculation (PBE-GGA) of ZrTa2W after structural relaxation.

Summary:
Total magnetization in μB/f.u.: 0.00
E above lowest polymorph in meV per atom: 232
ΔE_f in eV/atom: 0.273
ρ in kg/m³: 14069

a = 3.9402 Å, b = 3.9402 Å, c = 9.6851 Å
α = 90.00°, β = 90.00°, γ = 90.00°
Space group I-4m2 (No. 119)
Asymmetric unit:
Zr1 0.0000 0.0000 0.0000 (multiplicity 2)
Ta1 0.0000 0.0000 0.5000 (multiplicity 2)
Ta2 0.0000 0.5000 0.7500 (multiplicity 2)
W1 0.0000 0.5000 0.2500 (multiplicity 2)